The following is a PBE calculation of a relaxed Er2Tm2Th crystal, from the Alexandria database.

Structure (POSCAR):
```
Er2Tm2Th
1.0
-2.9473 2.9473 4.7135
2.9473 -2.9473 4.7135
2.9473 2.9473 -4.7135
Er Tm Th
2 2 1
Direct
0.1516 0.1516 0.0000
0.8484 0.8484 0.0000
0.2500 0.7500 0.5000
0.7500 0.2500 0.5000
0.5000 0.5000 0.0000
```

Calculated values
Theoretical density = 9.2 Mg/m³
E_form = 0.58 eV/atom



The following is a PBE calculation of a relaxed PmNd8Dy2 crystal, from the Alexandria database.

Structure (POSCAR):
```
PmNd8Dy2
1.0
7.1615 -3.4132 0.0000
7.1615 3.4132 0.0000
-3.4530 0.0000 7.9362
Pm Nd Dy
1 8 2
Direct
0.0000 0.0000 0.0000
0.1700 0.6505 0.6192
0.2609 0.2609 0.2310
0.3495 0.8300 0.3808
0.3908 0.3908 0.0070
0.6092 0.6092 0.9930
0.6505 0.1700 0.6192
0.7391 0.7391 0.7690
0.8300 0.3495 0.3808
0.1482 0.1482 0.7551
0.8518 0.8518 0.2449
```

Calculated values
Theoretical density = 7.0 Mg/m³
E_form = 0.21 eV/atom



The following is a PBE calculation of a relaxed CsSrCdIn2 crystal, from the Alexandria database.

Structure (POSCAR):
```
CsSrCdIn2
1.0
6.3869 0.0000 0.0000
0.0000 6.3869 0.0000
0.0000 0.0000 7.0755
Cs Sr Cd In
1 1 1 2
Direct
0.0000 0.0000 0.0000
0.0000 0.0000 0.5000
0.5000 0.5000 0.5000
0.0000 0.5000 0.0000
0.5000 0.0000 0.0000
```

Calculated values
Theoretical density = 3.2 Mg/m³
E_form = 0.91 eV/atom



The following is a PBE calculation of a relaxed YFeRu2 crystal, from the Alexandria database.

Structure (POSCAR):
```
YFeRu2
1.0
2.8073 -4.4206 0.0000
2.8073 4.4206 0.0000
-1.1976 0.0000 2.6395
Y Fe Ru
1 1 2
Direct
0.0000 0.0000 0.0000
0.5000 0.5000 0.0000
0.0000 0.5000 0.5000
0.5000 0.0000 0.5000
```

Calculated values
Theoretical density = 8.8 Mg/m³
E_form = 0.28 eV/atom



The following is a PBE calculation of a relaxed SrBeSb2Te crystal, from the Alexandria database.

Structure (POSCAR):
```
SrBeSb2Te
1.0
6.1108 0.0000 0.0000
0.0000 6.1108 0.0000
0.0000 0.0000 6.0182
Sr Be Sb Te
1 1 2 1
Direct
0.0000 0.0000 0.0000
0.5000 0.5000 0.5000
0.0000 0.5000 0.0000
0.5000 0.0000 0.0000
0.0000 0.0000 0.5000
```

Calculated values
ΔE_f (raw) = 1150 meV per atom
Theoretical density = 3.5 Mg/m³



The following is a PBE calculation of a relaxed W2N2Cl crystal, from the Alexandria database.

Structure (POSCAR):
```
W2N2Cl
1.0
-1.9688 1.9688 5.0656
1.9688 -1.9688 5.0656
1.9688 1.9688 -5.0656
W N Cl
2 2 1
Direct
0.2500 0.7500 0.5000
0.7500 0.2500 0.5000
0.1895 0.1895 0.0000
0.8105 0.8105 0.0000
0.5000 0.5000 0.0000
```

Calculated values
ΔE_f (raw) = 236 meV per atom
Theoretical density = 9.1 Mg/m³



The following is a PBE calculation of a relaxed ScMnMo2 crystal, from the Alexandria database.

Structure (POSCAR):
```
ScMnMo2
1.0
3.0302 0.0000 0.0000
0.0000 3.0302 0.0000
0.0000 0.0000 6.8977
Sc Mn Mo
1 1 2
Direct
0.0000 0.0000 0.0000
0.0000 0.0000 0.5000
0.5000 0.5000 0.2891
0.5000 0.5000 0.7109
```

Calculated values
Theoretical density = 7.6 Mg/m³
E_form = 0.19 eV/atom



The following is a PBE calculation of a relaxed MgNp2Tl3S6 crystal, from the Alexandria database.

Structure (POSCAR):
```
MgNp2Tl3S6
1.0
3.4402 -5.9564 0.0000
3.4402 5.9564 0.0000
-2.2898 0.0000 7.5206
Mg Np Tl S
1 2 3 6
Direct
0.0000 0.0000 0.0000
0.3333 0.6667 0.0000
0.6667 0.3333 0.0000
0.1667 0.8333 0.5000
0.5000 0.5000 0.5000
0.8333 0.1667 0.5000
0.0642 0.3949 0.1926
0.2666 0.2666 0.8075
0.3949 0.0642 0.1926
0.6051 0.9358 0.8074
0.7334 0.7334 0.1925
0.9358 0.6051 0.8074
```

Calculated values
ΔE_f (raw) = -1002 meV per atom
Theoretical density = 7.0 Mg/m³



The following is a PBE calculation of a relaxed Zr2Ga3Cu crystal, from the Alexandria database.

Structure (POSCAR):
```
Zr2Ga3Cu
1.0
0.0000 4.2681 7.4011
3.2804 0.0000 7.4011
3.2804 4.2681 0.0000
Zr Ga Cu
4 6 2
Direct
0.2490 0.7510 0.7510
0.2500 0.2500 0.2500
0.7500 0.7500 0.7500
0.7510 0.2490 0.2490
0.1699 0.1699 0.8301
0.1703 0.6592 0.3408
0.3408 0.8297 0.1703
0.6592 0.1703 0.8297
0.8297 0.3408 0.6592
0.8301 0.8301 0.1699
0.3333 0.3333 0.6667
0.6667 0.6667 0.3333
```

Calculated values
Theoretical density = 7.3 Mg/m³
E_form = -0.51 eV/atom



The following is a PBE calculation of a relaxed SiRu2Rh crystal, from the Alexandria database.

Structure (POSCAR):
```
SiRu2Rh
1.0
4.6349 -1.3981 0.0000
4.6349 1.3981 0.0000
-1.7121 0.0000 4.1986
Si Ru Rh
1 2 1
Direct
0.0000 0.0000 0.0000
0.4799 0.4799 0.5224
0.7169 0.7169 0.3448
0.2698 0.2698 0.8769
```

Calculated values
ΔE_f (raw) = -267 meV per atom
Theoretical density = 10.2 Mg/m³



The following is a PBE calculation of a relaxed SmGdInRu crystal, from the Alexandria database.

Structure (POSCAR):
```
SmGdInRu
1.0
0.0000 3.6332 3.6332
3.6332 0.0000 3.6332
3.6332 3.6332 0.0000
Sm Gd In Ru
1 1 1 1
Direct
0.0000 0.0000 0.0000
0.5000 0.5000 0.5000
0.7500 0.7500 0.7500
0.2500 0.2500 0.2500
```

Calculated values
Theoretical density = 9.1 Mg/m³
E_form = -0.27 eV/atom



The following is a PBE calculation of a relaxed LiMnSi2 crystal, from the Alexandria database.

Structure (POSCAR):
```
LiMnSi2
1.0
1.3776 0.7953 8.2824
-1.3776 0.7953 8.2824
0.0000 -1.5907 8.2824
Li Mn Si
1 1 2
Direct
0.0000 0.0000 0.0000
0.2408 0.2408 0.2408
0.5011 0.5011 0.5011
0.7518 0.7518 0.7518
```

Calculated values
ΔE_f (raw) = 205 meV per atom
Theoretical density = 3.6 Mg/m³